The following is a PBE calculation of a relaxed RbBSbTe2 crystal, from Alexandria via LeMat-Bulk.

Cell: 5.5004 5.5004 4.6478 Å, 90.00 90.00 90.00°
Element x y z (fractional)
1 Rb 0.5000 0.5000 0.5000
2 B 0.0000 0.0000 0.0000
3 Sb 0.0000 0.0000 0.5000
4 Te 0.5000 0.0000 0.0000
5 Te 0.0000 0.5000 0.0000

- D(E_F): 0.49 states/eV per atom
- Energy relative to the elements, uncorrected: 36 kJ/mol of atoms
- Magnetic moment: 0.0 μB per cell
- Space group: P4/mmm, No. 123
- Crystal system: tetragonal